First-principles (meta-GGA SCAN) data for a crystal of FeCoSb relaxed with PBEsol, as listed in Alexandria via LeMat-Bulk.

Properties
**Formation energy (no corrections)**: 431 meV/atom
**Magnetization**: 4.35 μB per cell

abc: 3.0472 3.0472 5.6796
angles: 90.00 90.00 120.00
Space group P3m1 (No. 156)
One atom of each set of equivalent atoms:
Fe 0.0000 0.0000 0.0000
Co 0.6667 0.3333 0.2705
Sb 0.3333 0.6667 0.6279

***

First-principles (meta-GGA SCAN) data for a crystal of FeCoSb relaxed with PBEsol, as listed in Alexandria via LeMat-Bulk.

Properties
**Formation energy (no corrections)**: 284 meV/atom
**Magnetization**: 7.72 μB per cell

abc: 3.268 3.268 7.802
angles: 90.00 90.00 90.00
Space group I4mm (No. 107)
One atom of each set of equivalent atoms:
Fe 0.000 0.000 0.000
Co 0.000 0.000 0.657
Sb 0.000 0.000 0.327

***

First-principles (meta-GGA SCAN) data for a crystal of FeCo2Sb relaxed with PBEsol, as listed in Alexandria via LeMat-Bulk.

Properties
**Formation energy (no corrections)**: 3 meV/atom
**Magnetization**: 24.66 μB per cell

abc: 5.891 5.891 5.891
angles: 90.00 90.00 90.00
Space group Fm-3m (No. 225)
One atom of each set of equivalent atoms:
Fe 0.000 0.000 0.000
Co 0.250 0.250 0.250
Sb 0.000 0.000 0.500

***

First-principles (meta-GGA SCAN) data for a crystal of FeCoSb4 relaxed with PBEsol, as listed in Alexandria via LeMat-Bulk.

Properties
**E above lowest polymorph**: 1.2110 eV per atom
**Formation energy (no corrections)**: 1160 meV/atom
**Magnetization**: 22.84 μB per cell

abc: 8.401 8.401 8.401
angles: 90.00 90.00 90.00
Space group F-43m (No. 216)
One atom of each set of equivalent atoms:
Fe 0.000 0.000 0.000
Co 0.250 0.250 0.250
Sb 0.125 0.125 0.625

***

First-principles (meta-GGA SCAN) data for a crystal of ScFeCo2 relaxed with PBEsol, as listed in Alexandria via LeMat-Bulk.

Properties
**Magnetization**: 10.42 μB per cell
**Energy relative to the elements**: -25 meV per atom

abc: 3.012 4.130 8.105
angles: 90.00 90.00 90.00
Space group Immm (No. 71)
One atom of each set of equivalent atoms:
Sc 0.000 0.000 0.000
Fe 0.000 0.000 0.500
Co 0.000 0.500 0.236

***

First-principles (meta-GGA SCAN) data for a crystal of ScFeCo2 relaxed with PBEsol, as listed in Alexandria via LeMat-Bulk.

Properties
**Magnetization**: 10.20 μB per cell
**Energy relative to the elements**: 72 meV per atom

abc: 5.063 7.939 2.643
angles: 90.00 110.61 90.00
Space group C2/m (No. 12)
One atom of each set of equivalent atoms:
Sc 0.000 0.000 0.000
Fe 0.000 0.500 0.000
Co 0.250 0.250 0.500

***

First-principles (meta-GGA SCAN) data for a crystal of Sc2FeCo relaxed with PBEsol, as listed in Alexandria via LeMat-Bulk.

Properties
**Magnetization**: 3.49 μB per cell
**Energy relative to the elements**: -93 meV per atom

abc: 2.925 2.925 7.641
angles: 90.00 90.00 90.00
Space group P4mm (No. 99)
One atom of each set of equivalent atoms:
Sc 0.000 0.000 0.000
Sc 0.500 0.500 0.380
Fe 0.500 0.500 0.766
Co 0.000 0.000 0.603

***

First-principles (meta-GGA SCAN) data for a crystal of Sc2FeCo relaxed with PBEsol, as listed in Alexandria via LeMat-Bulk.

Properties
**Magnetization**: 1.94 μB per cell
**Energy relative to the elements**: 196 meV per atom

abc: 2.858 4.086 5.206
angles: 90.00 90.00 90.00
Space group Pmm2 (No. 25)
One atom of each set of equivalent atoms:
Sc 0.000 0.000 0.000
Sc 0.500 0.500 0.364
Fe 0.500 0.500 0.834
Co 0.000 0.000 0.534

***

First-principles (meta-GGA SCAN) data for a crystal of FeCoSe2 relaxed with PBEsol, as listed in Alexandria via LeMat-Bulk.

Properties
**E above lowest polymorph**: 0.0000 eV per atom
**Formation energy (no corrections)**: -206 meV/atom
**Magnetization**: 0.60 μB per cell

abc: 3.612 3.612 5.344
angles: 90.00 90.13 90.00
Space group Pm (No. 6)
One atom of each set of equivalent atoms:
Fe 0.000 0.000 0.000
Co 0.500 0.500 0.000
Se 0.501 0.000 0.258
Se 0.999 0.500 0.742

***

First-principles (meta-GGA SCAN) data for a crystal of FeCoSe2 relaxed with PBEsol, as listed in Alexandria via LeMat-Bulk.

Properties
**E above lowest polymorph**: 0.0922 eV per atom
**Formation energy (no corrections)**: -114 meV/atom
**Magnetization**: 1.28 μB per cell

abc: 3.190 3.190 6.107
angles: 90.00 90.00 90.00
Space group P4mm (No. 99)
One atom of each set of equivalent atoms:
Fe 0.000 0.000 0.000
Co 0.500 0.500 0.770
Se 0.000 0.000 0.626
Se 0.500 0.500 0.148

***

First-principles (meta-GGA SCAN) data for a crystal of FeCoTe2Se relaxed with PBEsol, as listed in Alexandria via LeMat-Bulk.

Properties
**Formation energy (no corrections)**: 779 meV/atom
**Magnetization**: 0.21 μB per cell

abc: 5.127 5.127 4.188
angles: 90.00 90.00 90.00
Space group P4/mmm (No. 123)
One atom of each set of equivalent atoms:
Fe 0.000 0.000 0.000
Co 0.500 0.500 0.500
Te 0.000 0.500 0.000
Se 0.000 0.000 0.500

***

First-principles (meta-GGA SCAN) data for a crystal of FeCoSi relaxed with PBEsol, as listed in Alexandria via LeMat-Bulk.

Properties
**Formation energy (no corrections)**: -247 meV/atom
**Magnetization**: 9.94 μB per cell

abc: 4.795 3.707 6.969
angles: 90.00 90.00 90.00
Space group Pnma (No. 62)
One atom of each set of equivalent atoms:
Fe 0.169 0.250 0.064
Co 0.036 0.250 0.721
Si 0.191 0.250 0.398

***

First-principles (meta-GGA SCAN) data for a crystal of TiFeCoSi relaxed with PBEsol, as listed in Alexandria via LeMat-Bulk.

Properties
**Formation energy (no corrections)**: -634 meV/atom
**Magnetization**: 4.00 μB per cell

abc: 5.652 5.652 5.652
angles: 90.00 90.00 90.00
Space group F-43m (No. 216)
One atom of each set of equivalent atoms:
Ti 0.000 0.000 0.000
Fe 0.250 0.250 0.250
Co 0.250 0.250 0.750
Si 0.000 0.000 0.500

***

First-principles (meta-GGA SCAN) data for a crystal of Sm2Fe4Co13 relaxed with PBEsol, as listed in Alexandria via LeMat-Bulk.

Properties
**Magnetization**: 92.50 μB per cell
**Energy relative to the elements**: -51 meV per atom

abc: 8.2237 8.2237 12.0526
angles: 90.00 90.00 120.00
Space group R3m (No. 160, hexagonal axes)
One atom of each set of equivalent atoms:
Sm 0.0000 0.0000 0.0000
Sm 0.0000 0.0000 0.3126
Fe 0.0000 0.0000 0.7499
Fe 0.0041 0.5020 0.1560
Co 0.0000 0.0000 0.5597
Co 0.9998 0.2872 0.6561
Co 0.0007 0.5004 0.8116
Co 0.0021 0.5010 0.5016

***

First-principles (meta-GGA SCAN) data for a crystal of FeCoSn2 relaxed with PBEsol, as listed in Alexandria via LeMat-Bulk.

Properties
**Magnetization**: 4.94 μB per cell
**Energy relative to the elements**: 70 meV per atom

abc: 5.115 4.245 9.192
angles: 90.00 90.06 90.00
Space group P2/m (No. 10)
One atom of each set of equivalent atoms:
Fe 0.000 0.000 0.000
Fe 0.000 0.000 0.500
Fe 0.500 0.000 0.000
Co 0.241 0.000 0.749
Co 0.500 0.000 0.500
Sn 0.250 0.500 0.586
Sn 0.250 0.500 0.912
Sn 0.257 0.000 0.250

***

First-principles (meta-GGA SCAN) data for a crystal of SrFe2Co relaxed with PBEsol, as listed in Alexandria via LeMat-Bulk.

Properties
**Magnetization**: 27.93 μB per cell
**Energy relative to the elements**: 974 meV per atom

abc: 6.249 6.249 6.249
angles: 90.00 90.00 90.00
Space group Fm-3m (No. 225)
One atom of each set of equivalent atoms:
Sr 0.000 0.000 0.000
Fe 0.250 0.250 0.250
Co 0.000 0.000 0.500

***

First-principles (meta-GGA SCAN) data for a crystal of SrFe2Co relaxed with PBEsol, as listed in Alexandria via LeMat-Bulk.

Properties
**Magnetization**: 6.66 μB per cell
**Energy relative to the elements**: 937 meV per atom

abc: 3.785 3.785 4.359
angles: 90.00 90.00 90.00
Space group P4/mmm (No. 123)
One atom of each set of equivalent atoms:
Sr 0.000 0.000 0.000
Fe 0.000 0.500 0.500
Co 0.500 0.500 0.000

***

First-principles (meta-GGA SCAN) data for a crystal of SrFeCo relaxed with PBEsol, as listed in Alexandria via LeMat-Bulk.

Properties
**Magnetization**: 18.16 μB per cell
**Energy relative to the elements**: 947 meV per atom

abc: 6.257 6.257 6.257
angles: 90.00 90.00 90.00
Space group F-43m (No. 216)
One atom of each set of equivalent atoms:
Sr 0.000 0.000 0.000
Fe 0.000 0.000 0.500
Co 0.250 0.250 0.750

***

First-principles (meta-GGA SCAN) data for a crystal of SrFe2Co relaxed with PBEsol, as listed in Alexandria via LeMat-Bulk.

Properties
**Magnetization**: 20.73 μB per cell
**Energy relative to the elements**: 288 meV per atom

abc: 3.9956 3.9956 16.0636
angles: 90.00 90.00 120.00
Space group R-3m (No. 166, hexagonal axes)
One atom of each set of equivalent atoms:
Sr 0.0000 0.0000 0.0000
Fe 0.0000 0.0000 0.1912
Co 0.0000 0.0000 0.5000

***

First-principles (meta-GGA SCAN) data for a crystal of SrFe2Co relaxed with PBEsol, as listed in Alexandria via LeMat-Bulk.

Properties
**Magnetization**: 7.19 μB per cell
**Energy relative to the elements**: 479 meV per atom

abc: 2.892 3.268 6.876
angles: 90.00 90.00 90.00
Space group Pmmm (No. 47)
One atom of each set of equivalent atoms:
Sr 0.000 0.000 0.000
Fe 0.500 0.500 0.339
Co 0.000 0.000 0.500

***

First-principles (meta-GGA SCAN) data for a crystal of SrFe2Co relaxed with PBEsol, as listed in Alexandria via LeMat-Bulk.

Properties
**Magnetization**: 6.68 μB per cell
**Energy relative to the elements**: 463 meV per atom

abc: 3.092 3.092 6.827
angles: 90.00 90.00 90.00
Space group P4mm (No. 99)
One atom of each set of equivalent atoms:
Sr 0.000 0.000 0.000
Fe 0.000 0.000 0.490
Fe 0.500 0.500 0.656
Co 0.500 0.500 0.330

***

First-principles (meta-GGA SCAN) data for a crystal of SrFeCo2 relaxed with PBEsol, as listed in Alexandria via LeMat-Bulk.

Properties
**Magnetization**: 5.76 μB per cell
**Energy relative to the elements**: 477 meV per atom

abc: 3.008 3.008 6.874
angles: 90.00 90.00 90.00
Space group P4/mmm (No. 123)
One atom of each set of equivalent atoms:
Sr 0.000 0.000 0.000
Fe 0.000 0.000 0.500
Co 0.500 0.500 0.329

***

First-principles (meta-GGA SCAN) data for a crystal of Ta2FeCo relaxed with PBEsol, as listed in Alexandria via LeMat-Bulk.

Properties
**Magnetization**: 0.36 μB per cell
**Energy relative to the elements**: -90 meV per atom

abc: 3.962 2.969 9.418
angles: 90.00 90.00 90.00
Space group Amm2 (No. 38)
One atom of each set of equivalent atoms:
Ta 0.000 0.000 0.000
Ta 0.500 0.000 0.284
Fe 0.000 0.000 0.734
Co 0.500 0.000 0.553

***

First-principles (meta-GGA SCAN) data for a crystal of Fe2CoTc relaxed with PBEsol, as listed in Alexandria via LeMat-Bulk.

Properties
**E above lowest polymorph**: 0.0408 eV per atom
**Magnetization**: 2.09 μB per cell
**Energy relative to the elements**: 177 meV per atom

abc: 2.510 2.510 7.052
angles: 90.00 90.00 90.00
Space group P4mm (No. 99)
One atom of each set of equivalent atoms:
Fe 0.000 0.000 0.000
Fe 0.500 0.500 0.235
Co 0.500 0.500 0.761
Tc 0.000 0.000 0.501

***

First-principles (meta-GGA SCAN) data for a crystal of Fe2CoTc relaxed with PBEsol, as listed in Alexandria via LeMat-Bulk.

Properties
**E above lowest polymorph**: 0.0982 eV per atom
**Magnetization**: 5.98 μB per cell
**Energy relative to the elements**: 234 meV per atom

abc: 3.543 3.543 6.926
angles: 90.00 90.00 90.00
Space group I4/mmm (No. 139)
One atom of each set of equivalent atoms:
Fe 0.000 0.500 0.250
Co 0.000 0.000 0.000
Tc 0.000 0.000 0.500

***

First-principles (meta-GGA SCAN) data for a crystal of FeCoTc2 relaxed with PBEsol, as listed in Alexandria via LeMat-Bulk.

Properties
**E above lowest polymorph**: 0.0000 eV per atom
**Magnetization**: 22.59 μB per cell
**Energy relative to the elements**: 108 meV per atom

abc: 5.861 5.861 5.861
angles: 90.00 90.00 90.00
Space group F-43m (No. 216)
One atom of each set of equivalent atoms:
Fe 0.000 0.000 0.000
Co 0.250 0.250 0.250
Tc 0.000 0.000 0.500
Tc 0.250 0.250 0.750

***

First-principles (meta-GGA SCAN) data for a crystal of Fe2CoTc relaxed with PBEsol, as listed in Alexandria via LeMat-Bulk.

Properties
**E above lowest polymorph**: 0.0000 eV per atom
**Magnetization**: 19.62 μB per cell
**Energy relative to the elements**: 136 meV per atom

abc: 2.5621 2.5621 24.4052
angles: 90.00 90.00 120.00
Space group R-3m (No. 166, hexagonal axes)
One atom of each set of equivalent atoms:
Fe 0.0000 0.0000 0.2466
Co 0.0000 0.0000 0.5000
Tc 0.0000 0.0000 0.0000

***

First-principles (meta-GGA SCAN) data for a crystal of FeCoTc relaxed with PBEsol, as listed in Alexandria via LeMat-Bulk.

Properties
**Magnetization**: 2.81 μB per cell
**Energy relative to the elements**: 146 meV per atom

abc: 3.9935 3.9935 2.4953
angles: 90.00 90.00 120.00
Space group P-6m2 (No. 187)
One atom of each set of equivalent atoms:
Fe 0.0000 0.0000 0.0000
Co 0.6667 0.3333 0.0000
Tc 0.3333 0.6667 0.5000

***

First-principles (meta-GGA SCAN) data for a crystal of Fe2CoTc relaxed with PBEsol, as listed in Alexandria via LeMat-Bulk.

Properties
**E above lowest polymorph**: 0.0376 eV per atom
**Magnetization**: 10.97 μB per cell
**Energy relative to the elements**: 173 meV per atom

abc: 8.319 2.527 4.344
angles: 90.00 100.03 90.00
Space group Cm (No. 8)
One atom of each set of equivalent atoms:
Fe 0.000 0.000 0.000
Fe 0.248 0.500 0.244
Co 0.255 0.000 0.757
Tc 0.004 0.500 0.506